The following is a SCAN calculation of a PBEsol-optimized structure of Ce11In9Ni4, from Alexandria via LeMat-Bulk.

Structure (POSCAR):
```
Ce11In9Ni4
1.0
-0.678 3.058 -1.621
-3.851 -6.415 -10.491
-10.118 1.869 7.758
Ce In Ni
11 9 4
Cartesian
-4.627 0.380 2.653
0.000 0.000 0.000
-4.442 -1.445 -0.869
-6.181 -3.335 -3.706
-9.341 -4.926 -5.386
-2.337 -2.647 -4.016
-4.750 -5.226 -7.872
-7.788 -1.211 0.973
-9.218 0.680 5.139
-9.527 -3.100 -1.864
-11.631 -1.899 1.282
-11.644 -2.885 -4.411
-10.196 0.821 1.976
-7.323 -0.744 -2.177
-12.537 -1.704 -1.809
-7.161 -3.190 -6.861
-4.451 -2.309 -6.331
-7.486 1.703 2.507
-3.003 1.398 0.057
-2.109 0.217 -2.545
-8.720 -2.261 -4.455
-4.636 -0.932 -3.656
-5.927 0.774 0.101
-10.010 -0.555 -0.698
```

## Properties
magnetization = 0.29 μB/atom
electronic total energy = -867.09 eV/cell
D(E_F) = 1.187 states/eV/atom
mass density = 8.4 g cm⁻³
ΔH_f (0 K) = -0.4884 eV per atom